Er5Tl2Bi2 | PBE | optimized geometry

Its total energy is -4.2633 eV per atom. As for the crystal system: triclinic. The value obtained for the relative energy among the computed polymorphs is 0.212 eV/atom. The calculation puts the energy of formation at -0.340 eV per atom. As for the space group: P1, No. 1.

Unit cell a=6.3466 b=8.3253 c=10.8878 alpha=107.12 beta=106.94 gamma=90.04
Positions (direct):
Er (0.0000, 0.0000, 0.0000)
Er (0.0262, 0.5672, 0.4647)
Er (0.1199, 0.8126, 0.2619)
Er (0.2272, 0.4995, 0.0000)
Er (0.3134, 0.3402, 0.6901)
Er (0.3694, 0.3123, 0.2625)
Er (0.5246, 0.9027, 0.0893)
Er (0.6037, 0.8394, 0.6904)
Er (0.6662, 0.0664, 0.4653)
Er (0.7916, 0.4024, 0.0893)
Tl (0.1574, 0.9614, 0.5644)
Tl (0.4190, 0.1336, 0.9071)
Tl (0.6363, 0.4608, 0.5648)
Tl (0.7161, 0.6338, 0.9079)
Bi (0.1346, 0.7214, 0.7795)
Bi (0.6008, 0.6785, 0.2892)
Bi (0.8720, 0.2213, 0.7796)
Bi (0.9155, 0.1786, 0.2896)